Record 1
Compound: FePtW2
Source: the Alexandria database
Functional: PBE
Structure: optimized geometry Values from VASP.

```
&SYSTEM
  ibrav = 0, nat = 4, ntyp = 3
/
ATOMIC_SPECIES
Fe 55.84 Fe.upf
Pt 195.08 Pt.upf
W 183.84 W.upf
CELL_PARAMETERS angstrom
2.689 0.000 0.000
0.000 4.375 0.000
-0.682 0.000 5.058
ATOMIC_POSITIONS angstrom
Fe 0.000 0.000 0.000
Pt -0.178 2.188 1.411
W 0.392 2.188 4.073
W 1.212 0.000 2.563
```

## Properties
magnetic moment = 2.04 μB/f.u.
crystal system = monoclinic
final energy = -10.092 eV/atom
calculated density = 17262 kg/m3
DOS(E_F) = 3.458 states/eV per cell

=====

Record 2
Compound: FePtW2
Source: the Alexandria database
Functional: PBE
Structure: optimized geometry Values from VASP.

```
&SYSTEM
  ibrav = 0, nat = 8, ntyp = 3
/
ATOMIC_SPECIES
Fe 55.84 Fe.upf
Pt 195.08 Pt.upf
W 183.84 W.upf
CELL_PARAMETERS angstrom
9.210 0.000 0.000
0.000 2.718 0.000
-0.755 0.000 4.798
ATOMIC_POSITIONS angstrom
Fe 0.000 0.000 0.000
Fe 4.605 1.359 0.000
Pt -0.378 1.359 2.399
Pt 4.227 0.000 2.399
W 1.719 0.000 3.614
W 2.131 1.359 1.183
W 6.324 1.359 3.614
W 6.736 0.000 1.183
```

## Properties
magnetic moment = 2.04 μB/f.u.
crystal system = monoclinic
final energy = -10.013 eV/atom
calculated density = 17109 kg/m3
DOS(E_F) = 7.817 states/eV per cell

=====

Record 3
Compound: FePtW2
Source: the Alexandria database
Functional: PBE
Structure: optimized geometry Values from VASP.

```
&SYSTEM
  ibrav = 0, nat = 4, ntyp = 3
/
ATOMIC_SPECIES
Fe 55.84 Fe.upf
Pt 195.08 Pt.upf
W 183.84 W.upf
CELL_PARAMETERS angstrom
2.806 0.000 0.000
0.000 3.684 0.000
0.000 0.000 5.708
ATOMIC_POSITIONS angstrom
Fe 0.000 0.000 0.000
Pt 1.403 1.842 1.549
W 0.000 0.000 3.035
W 1.403 1.842 4.617
```

## Properties
magnetic moment = 0.00 μB/f.u.
crystal system = orthorhombic
final energy = -10.053 eV/atom
calculated density = 17410 kg/m3
DOS(E_F) = 3.431 states/eV per cell

=====

Record 4
Compound: FePt2W
Source: the Alexandria database
Functional: PBE
Structure: optimized geometry Values from VASP.

```
&SYSTEM
  ibrav = 0, nat = 8, ntyp = 3
/
ATOMIC_SPECIES
Fe 55.84 Fe.upf
Pt 195.08 Pt.upf
W 183.84 W.upf
CELL_PARAMETERS angstrom
3.888 0.000 0.000
0.000 3.888 0.000
0.000 0.000 7.732
ATOMIC_POSITIONS angstrom
Fe 0.000 0.000 0.000
Fe 1.944 1.944 3.866
Pt 0.000 0.000 3.866
Pt 0.000 1.944 5.799
Pt 1.944 0.000 1.933
Pt 1.944 1.944 0.000
W 0.000 1.944 1.933
W 1.944 0.000 5.799
```

## Properties
magnetic moment = 1.62 μB/f.u.
crystal system = tetragonal
final energy = -8.534 eV/atom
calculated density = 17894 kg/m3
DOS(E_F) = 7.867 states/eV per cell